[1]
Material: TlHgAs2Br
Method: DFT, GGA-PBE
State: relaxed

raw formation energy	0.43	eV per atom
energy relative to the lowest polymorph listed for this composition	0.00	eV/f.u.

Cell: 5.215 5.215 6.324 Å, 90.00 90.00 90.00°
Space group P4/mmm (No. 123)
One atom of each set of equivalent atoms:
Tl 0.000 0.000 0.000
Hg 0.500 0.500 0.500
As 0.000 0.500 0.500
Br 0.500 0.500 0.000

[2]
Material: Dy6Si2Hg
Method: DFT, GGA-PBE
State: relaxed

raw formation energy	-0.52	eV per atom

Cell: 9.577 9.596 10.194 Å, 90.00 90.00 90.00°
Space group Immm (No. 71)
One atom of each set of equivalent atoms:
Dy 0.000 0.201 0.247
Dy 0.204 0.500 0.177
Dy 0.227 0.319 0.500
Si 0.000 0.362 0.000
Si 0.000 0.500 0.383
Hg 0.000 0.000 0.000
Hg 0.000 0.000 0.500

[3]
Material: Sc2ICl
Method: DFT, GGA-PBE
State: relaxed

raw formation energy	-0.67	eV per atom
energy relative to the lowest polymorph listed for this composition	0.00	eV/f.u.

Cell: 3.6180 3.6180 28.4578 Å, 90.00 90.00 120.00°
Space group R-3m (No. 166, hexagonal axes)
One atom of each set of equivalent atoms:
Sc 0.0000 0.0000 0.0854
I 0.0000 0.0000 0.5000
Cl 0.0000 0.0000 0.0000

[4]
Material: Li2Mn2I5
Method: DFT, GGA-PBE
State: relaxed

raw formation energy	-0.56	eV per atom

Cell: 22.885 4.347 7.265 Å, 90.00 105.87 90.00°
Space group C2/m (No. 12)
One atom of each set of equivalent atoms:
Li 0.083 0.000 0.314
Mn 0.113 0.500 0.936
I 0.000 0.500 0.000
I 0.107 0.500 0.561
I 0.174 0.000 0.121

[5]
Material: Na6LiCd2
Method: DFT, GGA-PBE
State: relaxed

formation enthalpy at 0 K	-0.03	eV per atom
energy relative to the lowest polymorph listed for this composition	0.00	eV/f.u.

Cell: 10.443 10.460 4.740 Å, 90.00 90.00 90.00°
Space group Pnnm (No. 58)
One atom of each set of equivalent atoms:
Na 0.001 0.179 0.000
Na 0.167 0.668 0.500
Na 0.179 0.999 0.500
Li 0.000 0.500 0.000
Cd 0.156 0.345 0.500

[6]
Material: Tb8Sm3Tm2
Method: DFT, GGA-PBE
State: relaxed

formation enthalpy at 0 K	0.23	eV per atom
energy relative to the lowest polymorph listed for this composition	2.81	eV/f.u.

Cell: 19.974 7.704 5.659 Å, 90.00 90.02 90.00°
Space group C2/m (No. 12)
One atom of each set of equivalent atoms:
Tb 0.109 0.209 0.000
Tb 0.135 0.500 0.500
Tb 0.172 0.000 0.500
Sm 0.000 0.210 0.500
Sm 0.000 0.500 0.000
Tm 0.241 0.500 0.000

[7]
Material: ZnCdPd
Method: DFT, GGA-PBE
State: relaxed

formation enthalpy at 0 K	-0.28	eV per atom
energy relative to the lowest polymorph listed for this composition	0.16	eV/f.u.

Cell: 2.959 5.842 6.710 Å, 111.28 102.56 90.01°
Space group P-1 (No. 2)
One atom of each set of equivalent atoms:
Zn 0.128 0.109 0.258
Cd 0.169 0.644 0.340
Pd 0.500 0.258 0.998

[8]
Material: MnHgPBr
Method: DFT, GGA-PBE
State: relaxed

raw formation energy	-0.06	eV per atom
energy relative to the lowest polymorph listed for this composition	0.51	eV/f.u.

Cell: 3.126 3.351 8.934 Å, 99.16 90.89 90.02°
Space group P1 (No. 1)
One atom of each set of equivalent atoms:
Mn 0.000 0.000 0.000
Hg 0.494 0.716 0.589
P 0.497 0.454 0.893
Br 0.510 0.096 0.227

[9]
Material: Pm3Pr3Sc2
Method: DFT, GGA-PBE
State: relaxed

formation enthalpy at 0 K	0.04	eV per atom
energy relative to the lowest polymorph listed for this composition	0.00	eV/f.u.

Cell: 5.054 5.072 10.061 Å, 90.00 90.00 90.00°
Space group Pmmm (No. 47)
One atom of each set of equivalent atoms:
Pm 0.000 0.000 0.000
Pm 0.500 0.000 0.249
Pr 0.000 0.000 0.500
Pr 0.500 0.500 0.000
Pr 0.500 0.500 0.500
Sc 0.000 0.500 0.249

[10]
Material: KVGe2
Method: DFT, GGA-PBE
State: relaxed

formation enthalpy at 0 K	0.53	eV per atom
energy relative to the lowest polymorph listed for this composition	1.01	eV/f.u.

Cell: 6.908 6.908 6.908 Å, 90.00 90.00 90.00°
Space group Fm-3m (No. 225)
One atom of each set of equivalent atoms:
K 0.000 0.000 0.000
V 0.000 0.000 0.500
Ge 0.250 0.250 0.250

[11]
Material: SrLiPm2
Method: DFT, GGA-PBE
State: relaxed

formation enthalpy at 0 K	0.17	eV per atom
energy relative to the lowest polymorph listed for this composition	0.00	eV/f.u.

Cell: 3.857 3.857 9.337 Å, 90.00 90.00 90.00°
Space group P4/mmm (No. 123)
One atom of each set of equivalent atoms:
Sr 0.000 0.000 0.000
Li 0.000 0.000 0.500
Pm 0.500 0.500 0.315

[12]
Material: PaCoGe2Ir2
Method: DFT, GGA-PBE
State: relaxed

formation enthalpy at 0 K	0.20	eV per atom

Cell: 3.719 3.719 18.828 Å, 90.00 90.00 90.00°
Space group I4/mmm (No. 139)
One atom of each set of equivalent atoms:
Pa 0.000 0.000 0.000
Co 0.000 0.000 0.500
Ge 0.000 0.000 0.159
Ir 0.000 0.500 0.250

[13]
Material: AlZn2Hg
Method: DFT, GGA-PBE
State: relaxed

formation enthalpy at 0 K	0.11	eV per atom
energy relative to the lowest polymorph listed for this composition	0.00	eV/f.u.

Cell: 3.1573 3.1573 25.3736 Å, 90.00 90.00 120.00°
Space group R-3m (No. 166, hexagonal axes)
One atom of each set of equivalent atoms:
Al 0.0000 0.0000 0.0000
Zn 0.0000 0.0000 0.2544
Hg 0.0000 0.0000 0.5000

[14]
Material: BaAgI
Method: DFT, GGA-PBE
State: relaxed

raw formation energy	-0.92	eV per atom

Cell: 4.507 5.160 9.790 Å, 90.00 103.20 90.00°
Space group P2_1/m (No. 11)
One atom of each set of equivalent atoms:
Ba 0.114 0.250 0.225
Ag 0.480 0.250 0.956
I 0.313 0.250 0.628

[15]
Material: BaLiNdO3
Method: DFT, GGA-PBE
State: relaxed

raw formation energy	-2.67	eV per atom

Cell: 3.624 11.740 9.186 Å, 90.00 90.00 90.00°
Space group Cmcm (No. 63)
One atom of each set of equivalent atoms:
Ba 0.000 0.244 0.250
Li 0.000 0.029 0.750
Nd 0.000 0.500 0.000
O 0.000 0.121 0.576
O 0.000 0.437 0.750

[16]
Material: KGaPb
Method: DFT, GGA-PBE
State: relaxed

formation enthalpy at 0 K	0.00	eV per atom

Cell: 8.239 8.239 8.103 Å, 90.00 90.00 90.00°
Space group P4_122 (No. 91)
One atom of each set of equivalent atoms:
K 0.000 0.357 0.000
Ga 0.372 0.372 0.375
Pb 0.297 0.500 0.750

[17]
Material: Ba2InOs
Method: DFT, GGA-PBE
State: relaxed

formation enthalpy at 0 K	0.49	eV per atom

Cell: 3.688 3.750 9.333 Å, 90.00 90.06 90.00°
Space group P2/m (No. 10)
One atom of each set of equivalent atoms:
Ba 0.000 0.000 0.203
In 0.500 0.500 0.500
Os 0.500 0.500 0.000

[18]
Material: Cs2BaIrO6
Method: DFT, GGA-PBE
State: relaxed

raw formation energy	-1.35	eV per atom

Cell: 9.123 9.123 9.123 Å, 90.00 90.00 90.00°
Space group Fm-3m (No. 225)
One atom of each set of equivalent atoms:
Cs 0.250 0.250 0.250
Ba 0.000 0.000 0.000
Ir 0.000 0.000 0.500
O 0.000 0.000 0.292

[19]
Material: ErCuGe2Rh
Method: DFT, GGA-PBE
State: relaxed

formation enthalpy at 0 K	-0.62	eV per atom

Cell: 4.118 4.118 10.254 Å, 90.00 90.00 90.00°
Space group I-4m2 (No. 119)
One atom of each set of equivalent atoms:
Er 0.000 0.000 0.000
Cu 0.000 0.500 0.750
Ge 0.000 0.000 0.380
Rh 0.000 0.500 0.250

[20]
Material: K3GaCl6
Method: DFT, GGA-PBE
State: relaxed

raw formation energy	-1.57	eV per atom
energy relative to the lowest polymorph listed for this composition	0.54	eV/f.u.

Cell: 10.685 10.685 10.685 Å, 90.00 90.00 90.00°
Space group Fm-3m (No. 225)
One atom of each set of equivalent atoms:
K 0.000 0.000 0.000
K 0.250 0.250 0.250
Ga 0.000 0.000 0.500
Cl 0.000 0.000 0.277